VASP calculation (PBE-GGA) on a geometry-optimized Tb3Tm2Hg6 structure.

Unit cell a=13.616 b=13.616 c=13.616 alpha=158.45 beta=158.45 gamma=30.66
Element x y z (fractional)
1 Tb 0.000 0.000 0.000
2 Tb 0.142 0.142 0.000
3 Tb 0.858 0.858 0.000
4 Tm 0.375 0.375 0.000
5 Tm 0.625 0.625 0.000
6 Hg 0.066 0.566 0.500
7 Hg 0.260 0.260 0.000
8 Hg 0.434 0.934 0.500
9 Hg 0.566 0.066 0.500
10 Hg 0.740 0.740 0.000
11 Hg 0.934 0.434 0.500

Output
**Electronic total energy**: -25.78 eV/cell